No. 1
CdIrOs2: optimized geometry, GGA-PBE.

The calculation puts the formation energy at 0.647 eV/atom.

The space group is Cmmm (No. 65) and the conventional cell measures 2.755, 4.763 and 9.707 Å, with angles of 90.00, 90.00 and 90.00 degrees. Symmetry generates all atoms from Cd at (0.000, 0.000, 0.000), Ir at (0.000, 0.000, 0.500) and Os at (0.000, 0.500, 0.263).



No. 2
AlGe2Sb: optimized geometry, GGA-PBE.

The calculation puts the energy relative to the lowest polymorph listed for this composition at 0 meV/atom. The formation energy (no corrections) is 0.13 eV/f.u.

The space group is I-42d (No. 122) and the conventional cell measures 6.004, 6.004 and 12.111 Å, with angles of 90.00, 90.00 and 90.00 degrees. Symmetry generates all atoms from Al at (0.000, 0.000, 0.000), Ge at (0.224, 0.250, 0.125) and Sb at (0.000, 0.000, 0.500).



No. 3
AgBPd2N: optimized geometry, GGA-PBE.

The formation energy (no corrections) is 10.62 eV/f.u.

The space group is P4/mmm (No. 123) and the conventional cell measures 5.059, 5.059 and 3.691 Å, with angles of 90.00, 90.00 and 90.00 degrees. Symmetry generates all atoms from Ag at (0.000, 0.000, 0.000), B at (0.500, 0.500, 0.500), Pd at (0.000, 0.500, 0.000) and N at (0.000, 0.000, 0.500).



No. 4
NaPb2C2: optimized geometry, GGA-PBE.

The calculation puts the energy relative to the lowest polymorph listed for this composition at 0 meV/atom. The calculation puts the formation energy at 0.740 eV/atom.

The space group is P4/mbm (No. 127) and the conventional cell measures 6.476, 6.476 and 5.198 Å, with angles of 90.00, 90.00 and 90.00 degrees. Symmetry generates all atoms from Na at (0.000, 0.000, 0.000), Pb at (0.171, 0.329, 0.500) and C at (0.070, 0.570, 0.000).



No. 5
La2B2Pb: optimized geometry, GGA-PBE.

The calculation puts the energy relative to the lowest polymorph listed for this composition at 299 meV/atom. The calculation puts the formation energy at 0.195 eV/atom.

The space group is I4/mmm (No. 139) and the conventional cell measures 4.904, 4.904 and 9.695 Å, with angles of 90.00, 90.00 and 90.00 degrees. Symmetry generates all atoms from La at (0.000, 0.500, 0.250), B at (0.000, 0.000, 0.081) and Pb at (0.000, 0.000, 0.500).



No. 6
LaBeIr2: optimized geometry, GGA-PBE.

The calculation puts the formation energy at -0.103 eV/atom.

The space group is Pmm2 (No. 25) and the conventional cell measures 2.871, 3.792 and 6.403 Å, with angles of 90.00, 90.00 and 90.00 degrees. Symmetry generates all atoms from La at (0.000, 0.000, 0.000), Be at (0.500, 0.500, 0.367), Ir at (0.000, 0.000, 0.464) and Ir at (0.500, 0.500, 0.715).



no.,electronic total energy (eV/atom),magnetization (μB/f.u.)
1,-7.4118,0.01
2,-4.2421,0.00
3,-3.5233,0.00
4,-4.6969,0.00
5,-5.1882,0.00
6,-6.6972,0.00